VASP calculation (meta-GGA SCAN) on a crystal of Y2AgTe relaxed with PBEsol.

## Properties
Formation energy from raw total energies = -0.866 eV per atom
Magnetic moment = 0.0 μB per cell
Symmetry = R-3m
Raw total energy = -31.942 eV/atom

Cell lengths 7.735, 7.735, 7.735 Å; angles 30.80, 30.80, 30.80 degrees
Fractional coordinates of all 4 atoms:
Y  0.246  0.246  0.246
Y  0.754  0.754  0.754
Ag  0.500  0.500  0.500
Te  0.000  0.000  0.000